# 1
Below is crystalline Sc6IrPd2 at its relaxed geometry, with properties calculated at the PBE level.

It has space group Immm (No. 71), with a = 8.750 Å, b = 9.083 Å, c = 9.138 Å, α = 90.00°, β = 90.00° and γ = 90.00°. The distinct sites, in fractional coordinates, are Sc at (0.000, 0.168, 0.221), Sc at (0.176, 0.500, 0.236), Sc at (0.187, 0.245, 0.500), Ir at (0.000, 0.000, 0.500), Ir at (0.000, 0.500, 0.500), Pd at (0.000, 0.357, 0.000) and Pd at (0.156, 0.000, 0.000).

The energy of formation comes out at -648 meV/atom. For the volume, the calculation gives 181.6 Å³/f.u. Its final energy is -7.008 eV per atom. The total magnetization is 0.000 μB/cell.

***

# 2
Below is crystalline CePuBiBr2 at its relaxed geometry, with properties calculated at the PBE level.

It has space group I4mm (No. 107), with a = 4.570 Å, b = 4.570 Å, c = 14.421 Å, α = 90.00°, β = 90.00° and γ = 90.00°. The distinct sites, in fractional coordinates, are Ce at (0.000, 0.000, 0.000), Pu at (0.000, 0.000, 0.782), Bi at (0.000, 0.000, 0.391) and Br at (0.000, 0.500, 0.141).

The calculation puts the formation energy (no corrections) at -0.951 eV per atom. For the volume, the calculation gives 150.6 Å³/f.u. Its final energy is -6.449 eV per atom. The total magnetization is 14.002 μB/cell.

***

# 3
Below is crystalline YHg2Pd9 at its relaxed geometry, with properties calculated at the PBE level.

It has space group P4/mmm (No. 123), with a = 4.066 Å, b = 4.066 Å, c = 12.362 Å, α = 90.00°, β = 90.00° and γ = 90.00°. The distinct sites, in fractional coordinates, are Y at (0.000, 0.000, 0.000), Hg at (0.000, 0.000, 0.337), Pd at (0.000, 0.500, 0.170), Pd at (0.000, 0.500, 0.500), Pd at (0.500, 0.500, 0.000) and Pd at (0.500, 0.500, 0.333).

The energy of formation comes out at -344 meV/atom. For the volume, the calculation gives 204.4 Å³/f.u. Its final energy is -4.828 eV per atom. The total magnetization is 0.000 μB/cell.

***

# 4
Below is crystalline Ac2Sm5DyHo at its relaxed geometry, with properties calculated at the PBE level.

It has space group Cmc2_1 (No. 36), with a = 5.806 Å, b = 20.466 Å, c = 10.934 Å, α = 90.00°, β = 90.00° and γ = 90.00°. The distinct sites, in fractional coordinates, are Ac at (0.000, 0.112, 0.000), Ac at (0.000, 0.117, 0.585), Sm at (0.000, 0.019, 0.289), Sm at (0.000, 0.282, 0.575), Sm at (0.000, 0.296, 0.969), Sm at (0.000, 0.389, 0.288), Sm at (0.000, 0.482, 0.008), Dy at (0.000, 0.409, 0.732) and Ho at (0.000, 0.205, 0.276).

The energy of formation comes out at 144 meV/atom. For the volume, the calculation gives 324.8 Å³/f.u. Its final energy is -4.411 eV per atom. The total magnetization is 0.000 μB/cell.

***

# 5
Below is crystalline DyHIBr at its relaxed geometry, with properties calculated at the PBE level.

It has space group Cm (No. 8), with a = 6.796 Å, b = 3.924 Å, c = 8.233 Å, α = 90.00°, β = 106.04° and γ = 90.00°. The distinct sites, in fractional coordinates, are Dy at (0.000, 0.000, 0.000), H at (0.335, 0.000, 0.005), I at (0.257, 0.500, 0.270) and Br at (0.087, 0.500, 0.762).

For the volume, the calculation gives 105.5 Å³/f.u. Its final energy is -4.147 eV per atom. The total magnetization is 0.000 μB/cell.

***

# 6
Below is crystalline LaThPt2 at its relaxed geometry, with properties calculated at the PBE level.

It has space group P4/mmm (No. 123), with a = 3.662 Å, b = 3.662 Å, c = 7.329 Å, α = 90.00°, β = 90.00° and γ = 90.00°. The distinct sites, in fractional coordinates, are La at (0.000, 0.000, 0.000), Th at (0.000, 0.000, 0.500) and Pt at (0.500, 0.500, 0.281).

The energy of formation comes out at -1066 meV/atom. For the volume, the calculation gives 98.3 Å³/f.u. Its final energy is -7.174 eV per atom. The total magnetization is 0.000 μB/cell.

***

# 7
Below is crystalline Sr2TlBi2 at its relaxed geometry, with properties calculated at the PBE level.

It has space group P4/mbm (No. 127), with a = 9.877 Å, b = 9.877 Å, c = 3.820 Å, α = 90.00°, β = 90.00° and γ = 90.00°. The distinct sites, in fractional coordinates, are Sr at (0.140, 0.360, 0.000), Tl at (0.000, 0.000, 0.500) and Bi at (0.159, 0.659, 0.500).

The energy of formation comes out at -573 meV/atom. For the volume, the calculation gives 186.3 Å³/f.u. Its final energy is -3.271 eV per atom. The total magnetization is 0.000 μB/cell.

***

# 8
Below is crystalline Cu2TcI at its relaxed geometry, with properties calculated at the PBE level.

It has space group I-42d (No. 122), with a = 7.359 Å, b = 7.359 Å, c = 5.299 Å, α = 90.00°, β = 90.00° and γ = 90.00°. The distinct sites, in fractional coordinates, are Cu at (0.242, 0.750, 0.125), Tc at (0.000, 0.000, 0.000) and I at (0.000, 0.000, 0.500).

The calculation puts the formation energy (no corrections) at 0.920 eV per atom. For the volume, the calculation gives 71.7 Å³/f.u. Its final energy is -4.107 eV per atom. The total magnetization is 8.172 μB/cell.